Density functional theory data (meta-GGA SCAN) for ZnRh2Br2 at its PBEsol-relaxed geometry.

Calculated values
Its density of states at the Fermi level is 2.6 states/eV per cell. The uncorrected formation energy is 0.314 eV/atom. As for the calculated volume: 18.9 Å³ per atom. The space-group type is No. 139. The calculation puts the final energy at -23.681 eV/atom. As for the theoretical density: 7.6 g/cm3.

a b c (Å): 5.0024 5.1689 5.0024
angles (deg): 61.06 90.00 118.94
Closest atoms and distances in Å follow each position.
Element x y z (fractional)
Zn 0.0000 0.0000 0.0000  2 Rh 2.41
Br 0.7500 0.5000 0.7500  4 Rh 2.56
Rh 0.6798 0.3596 0.3202  1 Zn 2.41, 4 Br 2.56
Rh 0.3202 0.6404 0.6798  1 Zn 2.41, 4 Br 2.56
Br 0.2500 0.5000 0.2500  4 Rh 2.56

***

Density functional theory data (meta-GGA SCAN) for BeAsP2 at its PBEsol-relaxed geometry.

Calculated values
Its density of states at the Fermi level is 1.1 states/eV per cell. As for the calculated volume: 16.4 Å³ per atom. The offset from the most stable computed form comes out at 0.198 eV per atom. The space-group type is No. 160. The calculation puts the final energy at -11.038 eV/atom. As for the theoretical density: 3.7 g/cm3. For the energy of formation from the pure elements, the calculation gives 0.297 eV/atom.

a b c (Å): 3.1106 3.1106 8.0312
angles (deg): 78.83 78.83 60.00
Closest atoms and distances in Å follow each position.
Element x y z (fractional)
As 0.5253 0.5253 0.4242  3 Be 2.38
P 0.7200 0.7200 0.8399  3 P 2.24
P 0.9962 0.9962 0.0113  3 P 2.24, 3 Be 2.45
Be 0.2585 0.2585 0.2246  3 As 2.38, 3 P 2.45

***

Density functional theory data (meta-GGA SCAN) for KNiPO4 at its PBEsol-relaxed geometry.

Calculated values
Its density of states at the Fermi level is 0.0 states/eV per cell. The uncorrected formation energy is -2.201 eV/atom. As for the calculated volume: 13.7 Å³ per atom. The space-group type is No. 33. The calculation puts the final energy at -10.747 eV/atom. As for the theoretical density: 3.3 g/cm3.

a b c (Å): 4.8631 8.6202 9.1549
angles (deg): 90.00 90.00 90.00
Closest atoms and distances in Å follow each position.
Element x y z (fractional)
O 0.6497 0.2460 0.7159  1 P 1.54
K 0.5224 0.0030 0.3141  6 O 2.60-2.82
O 0.7088 0.3167 0.9855  1 P 1.55
P 0.0637 0.7915 0.1263  4 O 1.54-1.58
O 0.1898 0.4544 0.4162  1 P 1.58
O 0.2476 0.7106 0.6159  1 P 1.54
O 0.6898 0.5456 0.5838  1 P 1.58
Ni 0.9948 0.6529 0.4580  5 O 1.96-2.09
Ni 0.4948 0.3471 0.5420  5 O 1.96-2.09
P 0.5637 0.2085 0.8737  4 O 1.54-1.58
O 0.7476 0.7894 0.1159  1 P 1.54
Ni 0.9948 0.1529 0.0420  5 O 1.96-2.09
O 0.6497 0.7460 0.7841  1 P 1.54
K 0.5224 0.5030 0.1859  6 O 2.60-2.82
O 0.2088 0.1833 0.4855  1 P 1.55
P 0.0637 0.2915 0.3737  4 O 1.54-1.58
O 0.1497 0.2540 0.2159  1 P 1.54
O 0.7088 0.8167 0.5145  1 P 1.55
Ni 0.4948 0.8471 0.9580  5 O 1.96-2.09
K 0.0224 0.9970 0.6859  6 O 2.60-2.82
O 0.1898 0.9544 0.0838  1 P 1.58
O 0.1497 0.7540 0.2841  1 P 1.54
O 0.2088 0.6833 0.0145  1 P 1.55
K 0.0224 0.4970 0.8141  6 O 2.60-2.82
O 0.2476 0.2106 0.8841  1 P 1.54
O 0.7476 0.2894 0.3841  1 P 1.54
O 0.6898 0.0456 0.9162  1 P 1.58
P 0.5637 0.7085 0.6263  4 O 1.54-1.58

***

Copy entry 3 word for word.
Density functional theory data (meta-GGA SCAN) for KNiPO4 at its PBEsol-relaxed geometry.

Calculated values
Its density of states at the Fermi level is 0.0 states/eV per cell. The uncorrected formation energy is -2.201 eV/atom. As for the calculated volume: 13.7 Å³ per atom. The space-group type is No. 33. The calculation puts the final energy at -10.747 eV/atom. As for the theoretical density: 3.3 g/cm3.

a b c (Å): 4.8631 8.6202 9.1549
angles (deg): 90.00 90.00 90.00
Closest atoms and distances in Å follow each position.
Element x y z (fractional)
O 0.6497 0.2460 0.7159  1 P 1.54
K 0.5224 0.0030 0.3141  6 O 2.60-2.82
O 0.7088 0.3167 0.9855  1 P 1.55
P 0.0637 0.7915 0.1263  4 O 1.54-1.58
O 0.1898 0.4544 0.4162  1 P 1.58
O 0.2476 0.7106 0.6159  1 P 1.54
O 0.6898 0.5456 0.5838  1 P 1.58
Ni 0.9948 0.6529 0.4580  5 O 1.96-2.09
Ni 0.4948 0.3471 0.5420  5 O 1.96-2.09
P 0.5637 0.2085 0.8737  4 O 1.54-1.58
O 0.7476 0.7894 0.1159  1 P 1.54
Ni 0.9948 0.1529 0.0420  5 O 1.96-2.09
O 0.6497 0.7460 0.7841  1 P 1.54
K 0.5224 0.5030 0.1859  6 O 2.60-2.82
O 0.2088 0.1833 0.4855  1 P 1.55
P 0.0637 0.2915 0.3737  4 O 1.54-1.58
O 0.1497 0.2540 0.2159  1 P 1.54
O 0.7088 0.8167 0.5145  1 P 1.55
Ni 0.4948 0.8471 0.9580  5 O 1.96-2.09
K 0.0224 0.9970 0.6859  6 O 2.60-2.82
O 0.1898 0.9544 0.0838  1 P 1.58
O 0.1497 0.7540 0.2841  1 P 1.54
O 0.2088 0.6833 0.0145  1 P 1.55
K 0.0224 0.4970 0.8141  6 O 2.60-2.82
O 0.2476 0.2106 0.8841  1 P 1.54
O 0.7476 0.2894 0.3841  1 P 1.54
O 0.6898 0.0456 0.9162  1 P 1.58
P 0.5637 0.7085 0.6263  4 O 1.54-1.58

***

- Look up the calculated volume of the second one.
  16.4 Å³ per atom

***

- What is the theoretical density in the first record?
  7.6 g/cm3

***

- final energy of number 2 (BeAsP2)?
  -11.038 eV/atom